# 1
NbNiC after structural relaxation. Source: Alexandria via LeMat-Bulk, functional PBE-GGA.

The structure belongs to space group Pm (No. 6); the cell edges are 3.096, 3.784 and 3.097 Å and the angles 90.00°, 90.00° and 90.00°. The inequivalent atoms are Nb at (0.000, 0.000, 0.000), Ni at (0.497, 0.500, 0.506) and C at (0.500, 0.000, 0.500).

The magnetization comes out at 0.000 μB per formula unit. As for the formation energy: -0.22 eV per atom.

# 2
ErGe after structural relaxation. Source: Alexandria via LeMat-Bulk, functional PBE-GGA.

The structure belongs to space group I4_1/amd (No. 141, origin choice 2); the cell edges are 4.085, 4.085 and 21.365 Å and the angles 90.00°, 90.00° and 90.00°. The inequivalent atoms are Er at (0.000, 0.250, 0.069) and Ge at (0.000, 0.250, 0.207).

The magnetization comes out at 0.000 μB per formula unit. As for the formation energy: -0.83 eV per atom.

# 3
Pu3PtO after structural relaxation. Source: Alexandria via LeMat-Bulk, functional PBE-GGA.

The structure belongs to space group Pm-3m (No. 221); the cell edges are 4.755, 4.755 and 4.755 Å and the angles 90.00°, 90.00° and 90.00°. The inequivalent atoms are Pu at (0.000, 0.000, 0.500), Pt at (0.500, 0.500, 0.500) and O at (0.000, 0.000, 0.000).

The magnetization comes out at 17.870 μB per formula unit. Its formation energy from raw total energies is -5.4 eV per formula unit.

# 4
Pm4GaNi after structural relaxation. Source: Alexandria via LeMat-Bulk, functional PBE-GGA.

The structure belongs to space group P2_1/m (No. 11); the cell edges are 6.222, 6.930 and 8.237 Å and the angles 90.00°, 109.59° and 90.00°. The inequivalent atoms are Pm at (0.014, 0.002, 0.228), Pm at (0.413, 0.250, 0.623), Pm at (0.436, 0.250, 0.089), Ga at (0.213, 0.750, 0.554) and Ni at (0.229, 0.750, 0.057).

The magnetization comes out at 0.000 μB per formula unit. As for the formation energy: -0.26 eV per atom.

Look up the magnetization of the second one.
0.000 μB per formula unit

What is the magnetization in the first record?
0.000 μB per formula unit